DFT (meta-GGA SCAN) results for a PBEsol-optimized structure of SnSbTe2F.

Computed properties:
electronic total energy = -1.092 Ha/atom
energy relative to the elements, uncorrected = 0.54 eV per atom

abc: 5.5609 5.5609 5.6235
angles: 90.00 90.00 90.00
Space group P4/mmm (No. 123)
Symmetry-distinct sites (fractional):
Sn  0.0000  0.0000  0.0000 x1
Sb  0.0000  0.0000  0.5000 x1
Te  0.0000  0.5000  0.0000 x2
F  0.5000  0.5000  0.5000 x1


DFT (meta-GGA SCAN) results for a PBEsol-optimized structure of SrSb2TeF.

Computed properties:
electronic total energy = -1.035 Ha/atom
energy relative to the elements, uncorrected = -0.63 eV per atom

abc: 5.7818 5.7818 4.4283
angles: 90.00 90.00 90.00
Space group P4/mmm (No. 123)
Symmetry-distinct sites (fractional):
Sr  0.0000  0.0000  0.0000 x1
Sb  0.0000  0.5000  0.5000 x2
Te  0.5000  0.5000  0.5000 x1
F  0.5000  0.5000  0.0000 x1


DFT (meta-GGA SCAN) results for a PBEsol-optimized structure of SrZnSbF.

Computed properties:
electronic total energy = -0.774 Ha/atom
energy relative to the elements, uncorrected = -1.92 eV per atom

abc: 4.2668 4.2668 9.3438
angles: 90.00 90.00 90.00
Space group P4/nmm (No. 129, origin choice 2)
Symmetry-distinct sites (fractional):
Sr  0.2500  0.2500  0.1397 x2
Zn  0.2500  0.7500  0.5000 x2
Sb  0.2500  0.2500  0.6795 x2
F  0.2500  0.7500  0.0000 x2


DFT (meta-GGA SCAN) results for a PBEsol-optimized structure of TaSb3F.

Computed properties:
electronic total energy = -1.336 Ha/atom
energy relative to the elements, uncorrected = 0.02 eV per atom

abc: 5.2132 5.2132 5.2132
angles: 90.00 90.00 90.00
Space group Pm-3m (No. 221)
Symmetry-distinct sites (fractional):
Ta  0.0000  0.0000  0.0000 x1
Sb  0.0000  0.0000  0.5000 x3
F  0.5000  0.5000  0.5000 x1


DFT (meta-GGA SCAN) results for a PBEsol-optimized structure of TcSbF3.

Computed properties:
electronic total energy = -0.631 Ha/atom
energy relative to the elements, uncorrected = -0.57 eV per atom

abc: 4.5048 4.5048 4.5048
angles: 90.00 90.00 90.00
Space group Pm-3m (No. 221)
Symmetry-distinct sites (fractional):
Tc  0.0000  0.0000  0.0000 x1
Sb  0.5000  0.5000  0.5000 x1
F  0.0000  0.5000  0.5000 x3


DFT (meta-GGA SCAN) results for a PBEsol-optimized structure of ZrTcSb2F.

Computed properties:
electronic total energy = -1.058 Ha/atom
energy relative to the elements, uncorrected = -0.02 eV per atom

abc: 4.9189 4.9189 4.0194
angles: 90.00 90.00 90.00
Space group P4/mmm (No. 123)
Symmetry-distinct sites (fractional):
Zr  0.0000  0.0000  0.0000 x1
Tc  0.5000  0.5000  0.0000 x1
Sb  0.0000  0.5000  0.5000 x2
F  0.0000  0.0000  0.5000 x1